(1)
This record from Alexandria via LeMat-Bulk describes a relaxed SmGa4Ni2Ru crystal. The functional is PBE-GGA.

POSCAR file:
```
SmGa4Ni2Ru
1.0
2.058 1.188 8.915
-2.058 1.188 8.915
0.000 -2.377 8.915
Sm Ga Ni Ru
1 4 2 1
Direct
0.000 0.000 0.000 Sm
0.130 0.130 0.130 Ga
0.403 0.403 0.403 Ga
0.597 0.597 0.597 Ga
0.870 0.870 0.870 Ga
0.232 0.232 0.232 Ni
0.768 0.768 0.768 Ni
0.500 0.500 0.500 Ru
```

Properties
Space group   No. 166
Density   8.22 Mg/m³



(2)
This record from Alexandria via LeMat-Bulk describes a relaxed SmGa2Ni2Ru crystal. The functional is PBE-GGA.

POSCAR file:
```
SmGa2Ni2Ru
1.0
4.646 0.000 0.000
0.000 4.646 0.000
0.000 0.000 5.278
Sm Ga Ni Ru
1 2 2 1
Direct
0.000 0.000 0.000 Sm
0.000 0.500 0.500 Ga
0.500 0.000 0.500 Ga
0.500 0.500 0.251 Ni
0.500 0.500 0.749 Ni
0.000 0.000 0.500 Ru
```

Properties
Space group   No. 123
Density   7.41 Mg/m³



| no. | uncorrected energy (eV per atom) |
| --- | --- |
| 1 | -5.163 |
| 2 | -5.261 |